Sr2MgZn | the Alexandria database | meta-GGA SCAN | single point on PBEsol structure; relative energy among the computed polymorphs = 196 meV per atom; Fermi-level density of states = 0.788 states/eV per atom; space-group type = I-4m2; energy relative to the elements = 0.070 eV/atom
1.0
4.880 0.000 0.000
0.000 4.880 0.000
-2.440 -2.440 5.399
Sr Zn Mg
2 1 1
Cartesian
2.440 0.000 2.700
0.000 0.000 0.000
2.440 2.440 0.000
0.000 2.440 2.700